Record 1
La4Se2SCl: relaxed, PBE-GGA.

Cell lengths 4.2407, 7.3538, 7.3122 Å; angles 109.56, 90.00, 90.00 degrees
Sites, in units of the cell vectors:
Se 0.0000 0.5000 0.5000
Se 0.5000 0.0000 0.5000
Cl 0.5000 0.5000 0.0000
La 0.0000 0.7572 0.2446
La 0.0000 0.2428 0.7554
La 0.5000 0.7624 0.7615
La 0.5000 0.2376 0.2385
S 0.0000 0.0000 0.0000

spin magnetization = 0.00 μB/cell
calculated total energy = -6.02 eV/atom
N(E_F) = 4.481 states/eV per cell
formation energy without anion corrections = -186.8 kJ/mol of atoms

***

Record 2
Tm4MgSn2: relaxed, PBE-GGA.

Cell lengths 7.5857, 6.4317, 8.9765 Å; angles 90.00, 118.19, 90.00 degrees
Sites, in units of the cell vectors:
Sn 0.6546 0.7500 0.5743
Sn 0.8032 0.7500 0.0788
Sn 0.1968 0.2500 0.9212
Sn 0.3454 0.2500 0.4257
Tm 0.5499 0.0031 0.2196
Tm 0.0774 0.7500 0.8881
Tm 0.9226 0.2500 0.1119
Tm 0.4501 0.9969 0.7804
Tm 0.9875 0.7500 0.4799
Tm 0.4501 0.5031 0.7804
Tm 0.5499 0.4969 0.2196
Tm 0.0125 0.2500 0.5201
Mg 0.2406 0.7500 0.2923
Mg 0.7594 0.2500 0.7077

spin magnetization = 0.00 μB/cell
calculated total energy = -4.21 eV/atom
N(E_F) = 12.318 states/eV per cell
energy relative to the elements = -282 meV/atom

***

Record 3
Sm2HoUP4: relaxed, PBE-GGA.

Cell lengths 4.0158, 6.9645, 6.9861 Å; angles 109.19, 90.00, 90.00 degrees
Sites, in units of the cell vectors:
P 0.5000 0.2518 0.2379
P 0.0000 0.2574 0.7626
P 0.0000 0.7426 0.2374
P 0.5000 0.7482 0.7621
Sm 0.5000 0.0000 0.5000
Sm 0.0000 0.5000 0.5000
Ho 0.0000 0.0000 0.0000
U 0.5000 0.5000 0.0000

spin magnetization = 2.03 μB/cell
calculated total energy = -7.30 eV/atom
N(E_F) = 6.901 states/eV per cell
energy relative to the elements = -1432 meV/atom

***

Record 4
Cs15Rb: relaxed, PBE-GGA.

Cell lengths 10.8992, 10.8992, 17.6147 Å; angles 90.00, 90.00, 120.00 degrees
Sites, in units of the cell vectors:
Cs 0.5010 0.0019 0.5000
Cs 0.3333 0.6667 0.2529
Cs 0.0000 0.0000 0.5000
Cs 0.8346 0.6693 0.2464
Cs 0.3307 0.1654 0.7536
Cs 0.9981 0.4990 0.5000
Cs 0.8346 0.1654 0.7536
Cs 0.4990 0.9980 0.0000
Cs 0.5010 0.4990 0.5000
Cs 0.8346 0.1654 0.2464
Cs 0.0020 0.5010 0.0000
Cs 0.3307 0.1654 0.2464
Cs 0.4990 0.5010 0.0000
Cs 0.8346 0.6693 0.7536
Cs 0.3333 0.6667 0.7471
Rb 0.0000 0.0000 0.0000

spin magnetization = 0.00 μB/cell
calculated total energy = -0.86 eV/atom
N(E_F) = 20.966 states/eV per cell
energy relative to the elements = 1 meV/atom

***

Record 5
YMg2Ga3: relaxed, PBE-GGA.

Cell lengths 4.7836, 4.7836, 6.1777 Å; angles 90.00, 90.00, 120.00 degrees
Sites, in units of the cell vectors:
Ga 0.3333 0.6667 0.1977
Ga 0.0000 0.0000 0.5000
Ga 0.6667 0.3333 0.8023
Mg 0.3333 0.6667 0.6829
Mg 0.6667 0.3333 0.3171
Y 0.0000 0.0000 0.0000

spin magnetization = 0.00 μB/cell
calculated total energy = -3.45 eV/atom
N(E_F) = 4.166 states/eV per cell
energy relative to the elements = -328 meV/atom

***

Record 6
Al2RhW: relaxed, PBE-GGA.

Cell lengths 3.5171, 4.0815, 4.0815 Å; angles 90.00, 90.00, 90.00 degrees
Sites, in units of the cell vectors:
Rh 0.5000 0.5000 0.0000
W 0.5000 0.0000 0.5000
Al 0.0000 0.0000 0.0000
Al 0.0000 0.5000 0.5000

spin magnetization = 0.00 μB/cell
calculated total energy = -7.25 eV/atom
N(E_F) = 2.660 states/eV per cell
energy relative to the elements = -305 meV/atom

***

Record 7
BaYSn3: relaxed, PBE-GGA.

Cell lengths 5.9442, 5.9442, 5.9442 Å; angles 90.00, 90.00, 90.00 degrees
Sites, in units of the cell vectors:
Ba 0.0000 0.0000 0.0000
Sn 0.0000 0.0000 0.5000
Sn 0.0000 0.5000 0.0000
Sn 0.5000 0.0000 0.0000
Y 0.5000 0.5000 0.5000

spin magnetization = 0.00 μB/cell
calculated total energy = -3.28 eV/atom
N(E_F) = 4.373 states/eV per cell
energy relative to the elements = 804 meV/atom

***

Record 8
CeGdPa: relaxed, PBE-GGA.

Cell lengths 3.3106, 5.3728, 5.3728 Å; angles 120.00, 90.00, 90.00 degrees
Sites, in units of the cell vectors:
Ce 0.1667 0.0000 0.0000
Pa 0.1667 0.6667 0.3333
Gd 0.6666 0.3333 0.6667

spin magnetization = 6.92 μB/cell
calculated total energy = -9.59 eV/atom
N(E_F) = 9.225 states/eV per cell
energy relative to the elements = 242 meV/atom

***

Record 9
NiAg2Cl: relaxed, PBE-GGA.

Cell lengths 5.0317, 5.0317, 2.9982 Å; angles 90.13, 90.13, 114.23 degrees
Sites, in units of the cell vectors:
Ni 0.0000 0.5000 0.5000
Cl 0.5000 0.0000 0.5000
Ag 0.5000 0.5000 0.0000
Ag 0.0000 0.0000 0.0000

spin magnetization = 0.32 μB/cell
calculated total energy = -2.95 eV/atom
N(E_F) = 3.561 states/eV per cell
formation energy without anion corrections = 36.8 kJ/mol of atoms

***

Record 10
LiPm2AlSe5: relaxed, PBE-GGA.

Cell lengths 4.0120, 9.1194, 11.8427 Å; angles 90.00, 90.00, 102.71 degrees
Sites, in units of the cell vectors:
Al 0.5723 0.1447 0.9559
Al 0.4277 0.8553 0.4559
Se 0.4982 0.9963 0.2820
Se 0.3125 0.6251 0.3507
Se 0.0442 0.0883 0.0647
Se 0.6425 0.2850 0.4988
Se 0.5018 0.0037 0.7820
Se 0.9558 0.9117 0.5647
Se 0.7071 0.4142 0.1665
Se 0.6875 0.3749 0.8507
Se 0.2929 0.5858 0.6665
Se 0.3575 0.7150 0.9988
Pm 0.1212 0.2424 0.6819
Pm 0.8788 0.7576 0.1819
Pm 0.1309 0.2619 0.3043
Pm 0.8691 0.7381 0.8043
Li 0.7863 0.5726 0.5191
Li 0.2137 0.4274 0.0191

spin magnetization = 0.00 μB/cell
calculated total energy = -5.12 eV/atom
formation energy without anion corrections = -145.0 kJ/mol of atoms

***

Record 11
LaMoSe2: relaxed, PBE-GGA.

Cell lengths 4.9443, 4.9443, 4.9443 Å; angles 60.00, 60.00, 60.00 degrees
Sites, in units of the cell vectors:
Mo 0.7500 0.7500 0.7500
Se 0.0000 0.0000 0.0000
Se 0.2500 0.2500 0.2500
La 0.5000 0.5000 0.5000

spin magnetization = 0.00 μB/cell
calculated total energy = -5.55 eV/atom
N(E_F) = 5.022 states/eV per cell
formation energy without anion corrections = 13.0 kJ/mol of atoms

***

Record 12
Mg2AgHg2: relaxed, PBE-GGA.

Cell lengths 4.0710, 4.0710, 7.8405 Å; angles 74.95, 74.95, 90.00 degrees
Sites, in units of the cell vectors:
Ag 0.0000 0.0000 0.0000
Hg 0.2500 0.7500 0.5000
Hg 0.7500 0.2500 0.5000
Mg 0.4016 0.4016 0.1968
Mg 0.5984 0.5984 0.8032

spin magnetization = 0.00 μB/cell
calculated total energy = -1.25 eV/atom
N(E_F) = 1.800 states/eV per cell
energy relative to the elements = 82 meV/atom

***

Record 13
CaTiFeCl: relaxed, PBE-GGA.

Cell lengths 3.2653, 4.6710, 5.1253 Å; angles 94.15, 90.26, 91.75 degrees
Sites, in units of the cell vectors:
Ti 0.6172 0.8638 0.3129
Cl 0.6136 0.7534 0.8091
Ca 0.1032 0.2645 0.8508
Fe 0.5822 0.2783 0.3447

spin magnetization = 0.00 μB/cell
calculated total energy = -5.25 eV/atom
N(E_F) = 2.323 states/eV per cell
formation energy without anion corrections = -19.2 kJ/mol of atoms

***

Record 14
Ce3MgO: relaxed, PBE-GGA.

Cell lengths 4.9102, 4.9102, 4.9102 Å; angles 90.00, 90.00, 90.00 degrees
Sites, in units of the cell vectors:
O 0.0000 0.0000 0.0000
Ce 0.0000 0.5000 0.0000
Ce 0.0000 0.0000 0.5000
Ce 0.5000 0.0000 0.0000
Mg 0.5000 0.5000 0.5000

spin magnetization = 2.08 μB/cell
calculated total energy = -5.95 eV/atom
N(E_F) = 9.953 states/eV per cell
formation energy without anion corrections = -104.5 kJ/mol of atoms

***

Record 15
ZnPI2: relaxed, PBE-GGA.

Cell lengths 5.2122, 5.2122, 5.2122 Å; angles 60.00, 60.00, 60.00 degrees
Sites, in units of the cell vectors:
I 0.7500 0.7500 0.7500
I 0.2500 0.2500 0.2500
Zn 0.5000 0.5000 0.5000
P 0.0000 0.0000 0.0000

spin magnetization = 0.00 μB/cell
calculated total energy = -1.74 eV/atom
N(E_F) = 3.353 states/eV per cell
formation energy without anion corrections = 68.5 kJ/mol of atoms

***

Record 16
Pm3Nd8Y2: relaxed, PBE-GGA.

Cell lengths 5.8255, 7.7533, 11.0135 Å; angles 110.64, 89.99, 90.00 degrees
Sites, in units of the cell vectors:
Nd 0.5002 0.8143 0.2135
Nd 0.4998 0.6009 0.7865
Nd 0.5002 0.3991 0.2135
Nd 0.9998 0.6729 0.3457
Nd 0.4998 0.1857 0.7865
Nd 0.0004 0.1339 0.2678
Nd 0.9996 0.8661 0.7322
Nd 0.0002 0.3271 0.6543
Y 0.5004 0.2412 0.4823
Y 0.4996 0.7588 0.5177
Pm 0.0000 0.2870 0.0000
Pm 0.0000 0.7130 0.0000
Pm 0.5000 0.0000 0.0000

spin magnetization = 0.00 μB/cell
calculated total energy = -4.82 eV/atom
N(E_F) = 19.846 states/eV per cell
energy relative to the elements = 208 meV/atom

***

Record 17
Sc6AlSn: relaxed, PBE-GGA.

Cell lengths 4.4661, 4.4661, 8.9280 Å; angles 90.00, 90.00, 90.00 degrees
Sites, in units of the cell vectors:
Sc 0.0000 0.5000 0.7440
Sc 0.0000 0.5000 0.2560
Sc 0.5000 0.0000 0.7440
Sc 0.5000 0.5000 0.5000
Sc 0.5000 0.5000 0.0000
Sc 0.5000 0.0000 0.2560
Sn 0.0000 0.0000 0.0000
Al 0.0000 0.0000 0.5000

spin magnetization = 2.69 μB/cell
calculated total energy = -6.06 eV/atom
N(E_F) = 10.986 states/eV per cell
energy relative to the elements = -339 meV/atom

***

Record 18
BaAlAg2Se4: relaxed, PBE-GGA.

Cell lengths 7.0983, 6.5551, 6.5551 Å; angles 78.41, 57.22, 57.22 degrees
Sites, in units of the cell vectors:
Ag 0.5000 0.3016 0.6984
Ag 0.5000 0.6984 0.3016
Ba 0.0000 0.0000 0.0000
Se 0.3924 0.1394 0.4674
Se 0.0008 0.4674 0.1394
Se 0.9992 0.8606 0.5326
Se 0.6076 0.5326 0.8606
Al 0.0000 0.5000 0.5000

spin magnetization = 0.00 μB/cell
calculated total energy = -4.01 eV/atom
N(E_F) = 3.181 states/eV per cell
formation energy without anion corrections = -82.0 kJ/mol of atoms

***

Record 19
Mg12TlPb7: relaxed, PBE-GGA.

Cell lengths 9.3257, 9.3257, 9.3257 Å; angles 109.47, 109.47, 109.47 degrees
Sites, in units of the cell vectors:
Pb 0.0000 0.0000 0.5000
Pb 0.5000 0.0000 0.5000
Pb 0.0000 0.5000 0.0000
Pb 0.5000 0.5000 0.5000
Pb 0.5000 0.5000 0.0000
Pb 0.0000 0.5000 0.5000
Pb 0.5000 0.0000 0.0000
Mg 0.3475 0.7560 0.1034
Mg 0.2440 0.8966 0.6525
Mg 0.6525 0.7560 0.4085
Mg 0.7560 0.4085 0.6525
Mg 0.5915 0.3475 0.2440
Mg 0.2440 0.5915 0.3475
Mg 0.7560 0.1034 0.3475
Mg 0.8966 0.6525 0.2440
Mg 0.4085 0.6525 0.7560
Mg 0.6525 0.2440 0.8966
Mg 0.3475 0.2440 0.5915
Mg 0.1034 0.3475 0.7560
Tl 0.0000 0.0000 0.0000

spin magnetization = 0.00 μB/cell
calculated total energy = -2.25 eV/atom
N(E_F) = 8.569 states/eV per cell
energy relative to the elements = 125 meV/atom

***

Record 20
MnRe2SnB: relaxed, PBE-GGA.

Cell lengths 4.9066, 4.9066, 4.8105 Å; angles 90.00, 90.00, 90.00 degrees
Sites, in units of the cell vectors:
Re 0.0000 0.5000 0.0000
Re 0.5000 0.0000 0.0000
Sn 0.0000 0.0000 0.0000
B 0.5000 0.5000 0.5000
Mn 0.0000 0.0000 0.5000

spin magnetization = 4.37 μB/cell
calculated total energy = -5.74 eV/atom
N(E_F) = 9.392 states/eV per cell
energy relative to the elements = 3212 meV/atom